4
Lattice="-0.989 -1.501 -9.916 -3.386 -2.858 -9.051 -3.419 -0.003 -9.480" Properties=species:S:1:pos:R:3 comment="TaHgW2 (PBE, relaxed)" total_magnetization_mub_per_fu=0.0 dft_energy_ev_per_cell=-35.7 mass_density_g_cm3=17.34 pbc="T T T"
W -3.890 -2.177 -14.197
W -0.007 -0.004 -0.026
Hg -1.949 -1.091 -7.112
Ta -5.846 -3.272 -21.335